[1]
BaLiCr2 PBE optimized geometry; formation energy = 954 meV/atom; SG = P4/mmm, No. 123; polymorph energy (0 for the lowest one) = 401 meV per atom; calculated volume = 107.1 Å³ per cell
1.0
4.702 0.000 0.000
0.000 4.702 0.000
0.000 0.000 4.845
Ba Li Cr
1 1 2
Cartesian
0.000 0.000 0.000
2.351 2.351 0.000
0.000 2.351 2.422
2.351 0.000 2.422

[2]
BaLiCr2 PBE optimized geometry; formation energy = 965 meV/atom; SG = Fm-3m, No. 225; polymorph energy (0 for the lowest one) = 413 meV per atom; calculated volume = 451.4 Å³ per cell
1.0
7.671 0.000 0.000
0.000 7.671 0.000
0.000 0.000 7.671
Ba Li Cr
4 4 8
Cartesian
0.000 0.000 0.000
0.000 3.836 3.836
3.836 0.000 3.836
3.836 3.836 0.000
0.000 0.000 3.836
0.000 3.836 0.000
3.836 0.000 0.000
3.836 3.836 3.836
1.918 1.918 1.918
1.918 1.918 5.753
1.918 5.753 1.918
1.918 5.753 5.753
5.753 1.918 1.918
5.753 1.918 5.753
5.753 5.753 1.918
5.753 5.753 5.753

[3]
Ba2LiCr PBE optimized geometry; formation energy = 440 meV/atom; SG = Pmmm, No. 47; polymorph energy (0 for the lowest one) = 30 meV per atom; calculated volume = 158.6 Å³ per cell
1.0
4.225 0.000 0.000
0.000 4.295 0.000
0.000 0.000 8.738
Ba Li Cr
2 1 1
Cartesian
0.000 0.000 2.037
0.000 0.000 6.701
2.112 2.148 4.369
2.112 2.148 0.000

[4]
BaLiCr2 PBE optimized geometry; formation energy = 855 meV/atom; SG = C2/m, No. 12; polymorph energy (0 for the lowest one) = 302 meV per atom; calculated volume = 241.0 Å³ per cell
1.0
8.413 0.000 0.000
0.000 4.860 0.000
-2.814 0.000 5.895
Ba Li Cr
2 2 4
Cartesian
0.000 0.000 0.000
4.206 2.430 0.000
-1.407 2.430 2.948
2.799 0.000 2.948
-0.005 0.000 3.503
1.398 2.430 2.392
4.201 2.430 3.503
5.604 0.000 2.392